Entry 1:
CrPbN2F | PBE with a Hubbard U | optimized geometry

Results
Electronic total energy: -25.60 eV for the cell shown

abc: 4.339 4.339 4.391
angles: 90.00 90.00 90.00
Each line ends with the local moment (μB).
Element x y z (fractional)
Pb  0.000  0.000  0.000  0.01
Cr  0.500  0.500  0.500  4.29
N  0.000  0.500  0.000  -0.63
N  0.500  0.000  0.000  -0.63
F  0.000  0.000  0.500  0.03

---

Entry 2:
CrPdNF2 | PBE with a Hubbard U | optimized geometry

Results
Electronic total energy: -27.77 eV for the cell shown

abc: 3.853 3.853 4.078
angles: 90.00 90.00 90.00
Each line ends with the local moment (μB).
Element x y z (fractional)
Cr  0.000  0.000  0.000  2.84
N  0.000  0.000  0.500  -0.49
Pd  0.500  0.500  0.500  -0.30
F  0.000  0.500  0.000  -0.01
F  0.500  0.000  0.000  -0.01

---

Entry 3:
CrPdNF2 | PBE with a Hubbard U | optimized geometry

Results
Electronic total energy: -25.76 eV for the cell shown

abc: 4.494 4.494 3.688
angles: 90.00 90.00 90.00
Each line ends with the local moment (μB).
Element x y z (fractional)
Cr  0.500  0.500  0.500  4.42
N  0.000  0.000  0.500  -0.03
Pd  0.000  0.000  0.000  0.07
F  0.000  0.500  0.000  0.02
F  0.500  0.000  0.000  0.02

---

Entry 4:
CrPtNF2 | PBE with a Hubbard U | optimized geometry

Results
Electronic total energy: -26.59 eV for the cell shown

abc: 4.563 4.563 3.684
angles: 90.00 90.00 90.00
Each line ends with the local moment (μB).
Element x y z (fractional)
Cr  0.500  0.500  0.500  4.51
N  0.000  0.000  0.500  -0.04
Pt  0.000  0.000  0.000  0.00
F  0.000  0.500  0.000  0.02
F  0.500  0.000  0.000  0.02

---

Entry 5:
CrPtNF2 | PBE with a Hubbard U | optimized geometry

Results
Electronic total energy: -27.25 eV for the cell shown

abc: 3.772 3.772 4.309
angles: 90.00 90.00 90.00
Each line ends with the local moment (μB).
Element x y z (fractional)
Cr  0.000  0.000  0.000  2.94
N  0.000  0.000  0.500  -0.28
Pt  0.500  0.500  0.500  -0.47
F  0.000  0.500  0.000  -0.01
F  0.500  0.000  0.000  -0.01

---

Entry 6:
Rb2CrNF6 | PBE with a Hubbard U | optimized geometry

Results
Electronic total energy: -46.92 eV for the cell shown

abc: 5.777 5.777 6.301
angles: 62.72 62.72 90.00
Each line ends with the local moment (μB).
Element x y z (fractional)
Cr  0.000  0.000  0.000  -2.87
N  0.500  0.500  0.000  1.41
Rb  0.750  0.250  0.500  0.00
Rb  0.250  0.750  0.500  0.00
F  0.201  0.201  0.598  0.00
F  0.799  0.799  0.402  0.00
F  0.241  0.241  0.000  0.01
F  0.759  0.759  0.000  0.01
F  0.759  0.241  0.000  -0.01
F  0.241  0.759  0.000  -0.01